Record 1
Pm2GeC (PBE, relaxed); energy relative to the elements = -0.2916 eV/atom; SG = R-3m (166)
1.0
3.730 0.000 0.000
1.865 3.230 0.000
1.865 1.077 7.609
Ge C Pm
1 1 2
Direct
0.000 0.000 0.000 Ge
0.500 0.500 0.500 C
0.771 0.771 0.688 Pm
0.229 0.229 0.312 Pm

---

Record 2
Pm2GeC (PBE, relaxed); energy relative to the elements = -0.2510 eV/atom; SG = Cmcm (63)
1.0
-4.747 0.246 1.516
-1.625 -4.333 -4.385
3.323 -4.151 2.869
Pm Ge C
4 2 2
Direct
0.705 0.250 0.411 Pm
0.295 0.750 0.589 Pm
0.000 0.000 0.000 Pm
0.000 0.500 0.000 Pm
0.626 0.750 0.251 Ge
0.374 0.250 0.749 Ge
0.819 0.750 0.639 C
0.181 0.250 0.361 C

---

Record 3
Pm4GeC2 (PBE, relaxed); energy relative to the elements = -0.3217 eV/atom; SG = Cmcm (63)
1.0
3.882 0.000 0.000
-1.941 6.354 0.000
0.000 0.000 12.860
Pm Ge C
8 2 4
Direct
0.769 0.538 0.108 Pm
0.769 0.538 0.392 Pm
0.231 0.462 0.892 Pm
0.231 0.462 0.608 Pm
0.932 0.864 0.750 Pm
0.068 0.136 0.250 Pm
0.500 0.000 0.000 Pm
0.500 0.000 0.500 Pm
0.605 0.210 0.750 Ge
0.395 0.790 0.250 Ge
0.138 0.276 0.441 C
0.862 0.724 0.941 C
0.138 0.276 0.059 C
0.862 0.724 0.559 C

---

Record 4
Pm6GeC (PBE, relaxed); energy relative to the elements = -0.1762 eV/atom; SG = R-3m (166)
1.0
6.137 -0.228 -0.258
-0.897 6.076 -0.258
-0.897 -1.001 5.998
Pm Ge C
6 1 1
Direct
0.211 0.585 0.211 Pm
0.211 0.211 0.585 Pm
0.789 0.415 0.789 Pm
0.415 0.789 0.789 Pm
0.789 0.789 0.415 Pm
0.585 0.211 0.211 Pm
0.000 0.000 0.000 Ge
0.500 0.500 0.500 C

---

Record 5
Pm2Ge2Ru2C (PBE, relaxed); energy relative to the elements = -0.6641 eV/atom; SG = C2/m (12)
1.0
-1.934 -0.402 3.680
-1.611 -5.680 0.902
3.794 -2.416 4.101
Pm Ge Ru C
2 2 2 1
Direct
0.560 0.174 0.706 Pm
0.440 0.826 0.294 Pm
0.161 0.381 0.296 Ge
0.839 0.619 0.704 Ge
0.198 0.696 0.908 Ru
0.802 0.304 0.092 Ru
0.000 0.000 0.000 C

---

Record 6
Pm8Ge3CS3 (PBE, relaxed); formation energy (no corrections) = -1.162 eV/atom; SG = R-3m (166)
1.0
-2.447 3.370 7.055
5.902 -5.681 0.004
1.594 7.562 -3.059
Pm Ge C S
8 3 1 3
Direct
0.251 0.502 0.254 Pm
0.749 0.498 0.746 Pm
0.773 0.547 0.276 Pm
0.227 0.453 0.724 Pm
0.773 0.002 0.276 Pm
0.227 0.998 0.724 Pm
0.229 0.002 0.276 Pm
0.771 0.998 0.724 Pm
0.000 0.000 0.000 Ge
0.000 0.500 0.000 Ge
0.500 0.500 0.000 Ge
0.000 0.000 0.500 C
0.500 0.000 0.500 S
0.500 0.500 0.500 S
0.000 0.500 0.500 S

---

Let's list electronic total energy in order: -6.127 -6.087 -6.331 -5.469 -7.309 -6.060 eV per atom.
Let's list V in order: 22.913 21.879 22.659 27.393 18.633 26.477 Å³/atom.